# 1
# AcPm2Hf

A relaxed structure of AcPm2Hf (PBE, Alexandria).

The value obtained for the total magnetization is 0.00 μB per formula unit. The energy above the most stable polymorph in this dataset is 1.01 eV/f.u. The energy of formation from the pure elements comes out at 497.6 meV per atom.

It has space group R-3m (No. 166, hexagonal axes), with a = 3.5106 Å, b = 3.5106 Å, c = 37.2882 Å, α = 90.00°, β = 90.00° and γ = 120.00°. The distinct sites, in fractional coordinates, are Ac at (0.0000, 0.0000, 0.0000), Pm at (0.0000, 0.0000, 0.4168) and Hf at (0.0000, 0.0000, 0.5000).

# 2
# AcPrHf

A relaxed structure of AcPrHf (PBE, Alexandria).

The value obtained for the total magnetization is 0.00 μB per formula unit. The energy of formation from the pure elements comes out at 366.2 meV per atom.

It has space group C2/m (No. 12), with a = 11.547 Å, b = 3.506 Å, c = 11.458 Å, α = 90.00°, β = 116.00° and γ = 90.00°. The distinct sites, in fractional coordinates, are Ac at (0.177, 0.000, 0.101), Pr at (0.007, 0.000, 0.687) and Hf at (0.195, 0.500, 0.574).

# 3
# Ac2PrHf

A relaxed structure of Ac2PrHf (PBE, Alexandria).

The value obtained for the total magnetization is 0.00 μB per formula unit. The energy of formation from the pure elements comes out at 547.6 meV per atom.

It has space group R-3m (No. 166, hexagonal axes), with a = 3.5875 Å, b = 3.5875 Å, c = 38.6088 Å, α = 90.00°, β = 90.00° and γ = 120.00°. The distinct sites, in fractional coordinates, are Ac at (0.0000, 0.0000, 0.0826), Pr at (0.0000, 0.0000, 0.5000) and Hf at (0.0000, 0.0000, 0.0000).